Computed, not measured: a geometry-optimized GaTeF3 structure at the PBE-GGA level of DFT.

```
GaTeF3
1.0
4.699 0.000 0.000
0.000 4.699 0.000
0.000 0.000 4.699
Ga Te F
1 1 3
Cartesian
0.000 0.000 0.000 Ga
2.350 2.350 2.350 Te
0.000 2.350 2.350 F
2.350 0.000 2.350 F
2.350 2.350 0.000 F
```

Calculated values
E_form (uncorrected) = -1.17 eV per atom
Fermi-level density of states = 1.96 states/eV/f.u.
total DFT energy (no corrections) = -3.525 eV/atom

Computed, not measured: a geometry-optimized Ga2TeF structure at the PBE-GGA level of DFT.

```
Ga2TeF
1.0
0.000 3.457 3.457
3.457 0.000 3.457
3.457 3.457 0.000
Ga Te F
2 1 1
Cartesian
1.728 1.728 1.728 Ga
5.185 5.185 5.185 Ga
0.000 0.000 0.000 Te
3.457 3.457 3.457 F
```

Calculated values
E_form (uncorrected) = -0.66 eV per atom
Fermi-level density of states = 2.11 states/eV/f.u.
total DFT energy (no corrections) = -3.427 eV/atom

Computed, not measured: a geometry-optimized Ga2TeF structure at the PBE-GGA level of DFT.

```
Ga2TeF
1.0
-2.460 2.460 7.556
2.460 -2.460 7.556
2.460 2.460 -7.556
Ga Te F
4 2 2
Cartesian
3.690 0.670 -1.889 Ga
0.670 1.230 1.889 Ga
-1.230 1.790 5.667 Ga
1.790 1.230 9.445 Ga
2.460 0.000 3.778 Te
0.000 0.000 7.556 Te
0.000 0.000 0.000 F
0.000 2.460 3.778 F
```

Calculated values
E_form (uncorrected) = -0.72 eV per atom
Fermi-level density of states = 1.36 states/eV/f.u.
total DFT energy (no corrections) = -3.482 eV/atom

Computed, not measured: a geometry-optimized Ti2GaTeF structure at the PBE-GGA level of DFT.

```
Ti2GaTeF
1.0
4.257 0.000 0.000
0.000 4.257 0.000
0.000 0.000 4.969
Ti Ga Te F
2 1 1 1
Cartesian
0.000 2.129 0.000 Ti
2.129 0.000 0.000 Ti
0.000 0.000 2.484 Ga
2.129 2.129 2.484 Te
0.000 0.000 0.000 F
```

Calculated values
E_form (uncorrected) = -0.41 eV per atom
Fermi-level density of states = 5.23 states/eV/f.u.
total DFT energy (no corrections) = -5.172 eV/atom

Computed, not measured: a geometry-optimized TiGaTeF2 structure at the PBE-GGA level of DFT.

```
TiGaTeF2
1.0
3.963 0.000 0.000
0.000 3.963 0.000
0.000 0.000 5.962
Ti Ga Te F
1 1 1 2
Cartesian
0.000 0.000 0.000 Ti
0.000 0.000 2.981 Ga
1.981 1.981 2.981 Te
0.000 1.981 0.000 F
1.981 0.000 0.000 F
```

Calculated values
E_form (uncorrected) = -1.67 eV per atom
Fermi-level density of states = 3.82 states/eV/f.u.
total DFT energy (no corrections) = -5.235 eV/atom

Computed, not measured: a geometry-optimized TiGaF3 structure at the PBE-GGA level of DFT.

```
TiGaF3
1.0
4.153 0.000 0.000
0.000 4.153 0.000
0.000 0.000 4.153
Ti Ga F
1 1 3
Cartesian
0.000 0.000 0.000 Ti
2.077 2.077 2.077 Ga
0.000 0.000 2.077 F
0.000 2.077 0.000 F
2.077 0.000 0.000 F
```

Calculated values
E_form (uncorrected) = -2.18 eV per atom
Fermi-level density of states = 7.41 states/eV/f.u.
total DFT energy (no corrections) = -5.489 eV/atom

Computed, not measured: a geometry-optimized Ti2Ga2F structure at the PBE-GGA level of DFT.

```
Ti2Ga2F
1.0
7.585 0.000 0.000
0.000 7.585 0.000
0.000 0.000 2.945
Ti Ga F
4 4 2
Cartesian
1.393 2.400 0.000 Ti
2.400 6.192 0.000 Ti
5.186 1.393 0.000 Ti
6.192 5.186 0.000 Ti
0.873 4.666 1.473 Ga
2.919 0.873 1.473 Ga
4.666 6.712 1.473 Ga
6.712 2.919 1.473 Ga
0.000 0.000 1.473 F
3.793 3.793 1.473 F
```

Calculated values
E_form (uncorrected) = -0.33 eV per atom
Fermi-level density of states = 4.17 states/eV/f.u.
total DFT energy (no corrections) = -5.072 eV/atom

Computed, not measured: a geometry-optimized TiGaF3 structure at the PBE-GGA level of DFT.

```
TiGaF3
1.0
4.262 0.000 0.000
0.000 4.262 0.000
0.000 0.000 4.262
Ti Ga F
1 1 3
Cartesian
0.000 0.000 0.000 Ti
2.131 2.131 2.131 Ga
0.000 2.131 2.131 F
2.131 0.000 2.131 F
2.131 2.131 0.000 F
```

Calculated values
E_form (uncorrected) = -1.38 eV per atom
Fermi-level density of states = 3.40 states/eV/f.u.
total DFT energy (no corrections) = -4.684 eV/atom

Computed, not measured: a geometry-optimized Ti2Ga2F structure at the PBE-GGA level of DFT.

```
Ti2Ga2F
1.0
-1.767 1.767 7.163
1.767 -1.767 7.163
1.767 1.767 -7.163
Ti Ga F
2 2 1
Cartesian
1.767 0.000 3.581 Ti
0.000 1.767 3.581 Ti
0.000 0.000 1.211 Ga
0.000 0.000 13.115 Ga
0.000 0.000 7.163 F
```

Calculated values
E_form (uncorrected) = -0.14 eV per atom
Fermi-level density of states = 4.32 states/eV/f.u.
total DFT energy (no corrections) = -4.882 eV/atom

Computed, not measured: a geometry-optimized TiGaF5 structure at the PBE-GGA level of DFT.

```
TiGaF5
1.0
4.725 -3.685 0.000
4.725 3.685 0.000
-3.028 0.000 7.160
Ti Ga F
2 2 10
Cartesian
0.000 0.000 0.000 Ti
-1.514 0.000 3.580 Ti
2.453 0.033 5.370 Ga
3.968 -0.033 1.790 Ga
3.968 3.310 1.790 F
0.195 0.168 4.266 F
1.679 1.846 6.781 F
1.709 -0.168 0.686 F
3.227 1.846 3.960 F
3.194 -1.846 3.201 F
4.712 0.168 6.474 F
4.742 -1.846 0.380 F
6.226 -0.168 2.894 F
2.453 -3.310 5.370 F
```

Calculated values
E_form (uncorrected) = -2.89 eV per atom
Fermi-level density of states = 0.00 states/eV/f.u.
total DFT energy (no corrections) = -5.788 eV/atom

Computed, not measured: a geometry-optimized Ti3GaF structure at the PBE-GGA level of DFT.

```
Ti3GaF
1.0
4.177 0.000 0.000
0.000 4.177 0.000
0.000 0.000 4.177
Ti Ga F
3 1 1
Cartesian
0.000 0.000 2.089 Ti
0.000 2.089 0.000 Ti
2.089 0.000 0.000 Ti
2.089 2.089 2.089 Ga
0.000 0.000 0.000 F
```

Calculated values
E_form (uncorrected) = -0.67 eV per atom
Fermi-level density of states = 5.10 states/eV/f.u.
total DFT energy (no corrections) = -6.390 eV/atom

Computed, not measured: a geometry-optimized TiGa3F structure at the PBE-GGA level of DFT.

```
TiGa3F
1.0
4.382 0.000 0.000
0.000 4.382 0.000
0.000 0.000 4.382
Ti Ga F
1 3 1
Cartesian
0.000 0.000 0.000 Ti
0.000 2.191 2.191 Ga
2.191 0.000 2.191 Ga
2.191 2.191 0.000 Ga
2.191 2.191 2.191 F
```

Calculated values
E_form (uncorrected) = -0.34 eV per atom
Fermi-level density of states = 1.25 states/eV/f.u.
total DFT energy (no corrections) = -4.109 eV/atom